1.
A geometry-optimized K5Na2Pb structure, computed with PBE-GGA.

Computed properties:
- Raw total energy: -1.521 eV/atom
- Energy relative to the elements: -0.042 eV/atom
- Magnetic moment: 0.000 μB per formula unit

Cell: 5.945 14.088 19.914 Å, 90.00 90.00 90.00°
Space group Cmcm (No. 63)
Symmetry-distinct sites (fractional):
K  0.000  0.005  0.250 (multiplicity 4)
K  0.000  0.155  0.054 (multiplicity 8)
K  0.000  0.437  0.110 (multiplicity 8)
Na  0.000  0.258  0.670 (multiplicity 8)
Pb  0.000  0.266  0.250 (multiplicity 4)



2.
A geometry-optimized KSn3Pt structure, computed with PBE-GGA.

Computed properties:
- Raw total energy: -3.833 eV/atom
- Energy relative to the elements: -0.004 eV/atom
- Magnetic moment: 0.000 μB per formula unit
- Polymorph energy (0 for the lowest one): 387 meV per atom

Cell: 5.390 5.390 5.390 Å, 90.00 90.00 90.00°
Space group Pm-3m (No. 221)
Symmetry-distinct sites (fractional):
K  0.000  0.000  0.000 (multiplicity 1)
Sn  0.000  0.500  0.500 (multiplicity 3)
Pt  0.500  0.500  0.500 (multiplicity 1)



3.
A geometry-optimized LaRh2Au structure, computed with PBE-GGA.

Computed properties:
- Raw total energy: -6.102 eV/atom
- Energy relative to the elements: -0.375 eV/atom
- Magnetic moment: 0.001 μB per formula unit

Cell: 4.178 4.178 8.720 Å, 90.00 90.00 90.00°
Space group I-4m2 (No. 119)
Symmetry-distinct sites (fractional):
La  0.000  0.000  0.000 (multiplicity 2)
Rh  0.000  0.000  0.500 (multiplicity 2)
Rh  0.000  0.500  0.750 (multiplicity 2)
Au  0.000  0.500  0.250 (multiplicity 2)